A plane-wave DFT calculation with PBE was carried out for an optimized crystal structure of Na2Li16Mg.

## Properties
- ΔH_f (0 K) (eV/f.u.) = 0.825
- symmetry = R3m, No. 160

Unit cell a=7.6877 b=7.6877 c=7.6877 alpha=77.26 beta=77.26 gamma=77.26
Fractional coordinates of all 19 atoms:
1 Li 0.6758 0.0781 0.6758
2 Li 0.3787 0.7608 0.3787
3 Li 0.6758 0.6758 0.0781
4 Li 0.7002 0.9956 0.3050
5 Li 0.0781 0.6758 0.6758
6 Li 0.9956 0.7002 0.3050
7 Li 0.3787 0.3787 0.7608
8 Li 0.7002 0.3050 0.9956
9 Li 0.0950 0.0950 0.0950
10 Li 0.3050 0.9956 0.7002
11 Li 0.9956 0.3050 0.7002
12 Li 0.3050 0.7002 0.9956
13 Li 0.7608 0.3787 0.3787
14 Li 0.0334 0.4674 0.0334
15 Li 0.0334 0.0334 0.4674
16 Li 0.4674 0.0334 0.0334
17 Na 0.3331 0.3331 0.3331
18 Na 0.6664 0.6664 0.6664
19 Mg 0.9219 0.9219 0.9219